8
Lattice="4.829 0.000 0.000 2.415 4.182 0.000 2.415 1.394 9.560" Properties=species:S:1:pos:R:3 comment="SrMgCd4Ag2, optimized geometry, DFT GGA-PBE" formation_energy_mev_per_atom=-132 pbc="T T T"
Sr 0.000 0.000 0.000
Ag 7.244 4.182 6.744
Ag 2.415 1.394 2.816
Mg 4.829 2.788 4.780
Cd 7.244 4.182 3.653
Cd 4.829 2.788 1.881
Cd 2.415 1.394 5.907
Cd 4.829 2.788 7.679

5
Lattice="-4.552 -4.242 -2.409 1.841 -4.153 3.836 -4.420 2.190 4.493" Properties=species:S:1:pos:R:3 comment="SrMg2CdAg, optimized geometry, DFT GGA-PBE" formation_energy_mev_per_atom=820 de_polymorph_ev_per_atom=0.870 pbc="T T T"
Mg -2.210 1.095 2.246
Mg -2.276 -2.121 -1.205
Cd -3.565 -3.103 2.960
Sr 0.000 0.000 0.000
Ag 0.920 -2.077 1.918

12
Lattice="-0.715 6.155 -0.344 -6.596 -0.900 -2.400 0.834 0.540 7.940" Properties=species:S:1:pos:R:3 comment="SrMgCd3Ag, optimized geometry, DFT GGA-PBE" formation_energy_mev_per_atom=-90 pbc="T T T"
Cd -2.339 2.807 -0.893
Cd -4.973 2.447 -1.851
Cd -0.899 1.565 1.883
Cd -1.981 -0.270 -0.721
Cd -4.615 -0.630 -1.679
Cd -5.579 4.229 3.313
Sr -2.003 4.669 3.755
Sr -4.474 1.125 1.442
Ag -1.892 1.601 4.600
Ag -4.585 4.193 0.596
Mg -0.882 4.629 0.689
Mg -5.595 1.166 4.508

5
Lattice="5.197 0.000 0.000 0.000 5.197 0.000 0.000 0.000 5.352" Properties=species:S:1:pos:R:3 comment="SrMg2CdAg, optimized geometry, DFT GGA-PBE" formation_energy_mev_per_atom=-50 de_polymorph_ev_per_atom=0.000 pbc="T T T"
Sr 2.598 2.598 2.676
Mg 2.598 0.000 0.000
Mg 0.000 2.598 0.000
Ag 0.000 0.000 0.000
Cd 0.000 0.000 2.676

12
Lattice="6.480 0.000 0.000 0.000 7.314 0.000 0.000 -3.657 6.924" Properties=species:S:1:pos:R:3 comment="SrMg3CdAg, optimized geometry, DFT GGA-PBE" formation_energy_mev_per_atom=-51 pbc="T T T"
Cd 1.620 3.657 6.108
Cd 4.860 0.000 0.817
Mg 0.000 5.121 0.000
Mg 4.860 3.657 4.843
Mg 1.620 0.000 2.081
Mg 3.240 2.192 0.000
Mg 3.240 5.121 0.000
Mg 0.000 2.192 0.000
Ag 4.860 3.657 1.970
Ag 1.620 0.000 4.954
Sr 1.620 3.657 2.961
Sr 4.860 0.000 3.963

10
Lattice="9.487 0.039 -0.022 -0.024 5.740 0.009 4.809 2.881 4.758" Properties=species:S:1:pos:R:3 comment="Sr2MgCdAg6, optimized geometry, DFT GGA-PBE" formation_energy_mev_per_atom=-147 pbc="T T T"
Ag 11.095 5.781 2.372
Ag 2.417 1.443 0.033
Ag 11.870 4.347 4.708
Ag 3.178 2.879 2.374
Ag 2.403 4.313 0.037
Ag 11.856 7.217 4.712
Cd 0.000 0.000 0.000
Sr 9.158 2.903 2.304
Sr 5.115 5.757 2.441
Mg 4.732 2.890 -0.007

20
Lattice="3.662 0.000 0.000 0.000 11.417 0.000 0.000 0.000 11.417" Properties=species:S:1:pos:R:3 comment="Sr2Mg2CdAg5, optimized geometry, DFT GGA-PBE" formation_energy_mev_per_atom=-128 pbc="T T T"
Sr 0.000 9.413 7.712
Sr 0.000 2.004 3.704
Sr 0.000 7.712 2.004
Sr 0.000 3.704 9.413
Cd 0.000 0.000 0.000
Cd 0.000 5.708 5.708
Ag 1.831 6.356 7.906
Ag 1.831 5.061 3.510
Ag 1.831 2.198 0.648
Ag 1.831 7.906 5.061
Ag 1.831 10.769 2.198
Ag 1.831 9.219 10.769
Ag 1.831 3.510 6.356
Ag 1.831 5.708 0.000
Ag 1.831 0.648 9.219
Ag 1.831 0.000 5.708
Mg 0.000 1.424 7.132
Mg 0.000 7.132 9.993
Mg 0.000 9.993 4.284
Mg 0.000 4.284 1.424

4
Lattice="5.289 0.000 0.000 2.645 4.581 0.000 2.645 1.527 4.319" Properties=species:S:1:pos:R:3 comment="SrMgCdAg, optimized geometry, DFT GGA-PBE" formation_energy_mev_per_atom=-191 pbc="T T T"
Ag 2.645 1.527 1.080
Mg 0.000 0.000 0.000
Cd 7.934 4.581 3.239
Sr 5.289 3.054 2.159

5
Lattice="-0.794 -3.619 1.893 3.946 -1.812 -1.808 1.829 4.775 5.325" Properties=species:S:1:pos:R:3 comment="SrMgCd2Ag, optimized geometry, DFT GGA-PBE" formation_energy_mev_per_atom=-254 pbc="T T T"
Sr 2.951 1.785 4.652
Ag 3.858 -1.335 3.639
Cd 0.324 0.196 0.510
Cd 1.018 -0.953 3.178
Mg 3.255 -0.130 1.117

18
Lattice="-5.377 -7.160 -9.148 1.219 -8.765 -9.249 -2.889 -11.578 -4.633" Properties=species:S:1:pos:R:3 comment="Sr2Mg3Cd12Ag, optimized geometry, DFT GGA-PBE" formation_energy_mev_per_atom=-50 pbc="T T T"
Cd -1.828 -13.131 -9.629
Cd -5.218 -14.372 -13.402
Cd -2.907 -11.216 -11.587
Cd -3.482 -6.575 -7.105
Cd -4.140 -16.288 -11.444
Cd -4.689 -12.435 -9.585
Cd -3.565 -20.928 -15.926
Cd -2.220 -8.816 -4.815
Cd -6.911 -20.113 -15.874
Cd -0.136 -7.390 -7.157
Cd -4.827 -18.687 -18.216
Cd -2.358 -15.068 -13.446
Ag 0.000 0.000 0.000
Mg -2.689 -3.580 -4.574
Mg 0.610 -4.383 -4.625
Mg -1.444 -5.789 -2.317
Sr -2.529 -9.869 -8.264
Sr -4.518 -17.634 -14.767

8
Lattice="-4.292 -0.202 -1.950 -3.809 -0.547 2.731 -3.496 9.179 1.037" Properties=species:S:1:pos:R:3 comment="SrMg2CdAg4, optimized geometry, DFT GGA-PBE" formation_energy_mev_per_atom=-169 pbc="T T T"
Cd -5.799 4.215 0.909
Ag -5.565 1.439 0.681
Ag -3.195 5.605 0.743
Ag -8.403 2.825 1.076
Ag -6.033 6.991 1.138
Mg -2.935 2.525 0.489
Mg -8.663 5.906 1.329
Sr 0.000 0.000 0.000